No. 1
Computed, not measured: a relaxed Th3Ir8Pt crystal at the PBE level of DFT.

Cell lengths 5.4016, 5.4016, 9.3865 Å; angles 73.28, 73.28, 60.00 degrees
Element x y z (fractional)
Ir: 0.0605 0.5620 0.3170
Ir: 0.0577 0.5625 0.8174
Ir: 0.8105 0.8105 0.5684
Ir: 0.5625 0.0577 0.8174
Ir: 0.5625 0.5625 0.8174
Ir: 0.3111 0.3111 0.0666
Ir: 0.5620 0.0605 0.3170
Ir: 0.0605 0.0605 0.3170
Pt: 0.1383 0.1383 0.5851
Th: 0.6221 0.6221 0.1338
Th: 0.0117 0.0117 0.9649
Th: 0.4906 0.4906 0.5282

Summary:
Space-group type: R3m
Formation enthalpy at 0 K (eV per atom): -0.64

=====

No. 2
Computed, not measured: a relaxed ThIrPt crystal at the PBE level of DFT.

Cell lengths 4.2112, 5.4258, 5.8739 Å; angles 90.00, 90.00, 112.83 degrees
Element x y z (fractional)
Th: 0.1773 0.3546 0.7500
Th: 0.8227 0.6454 0.2500
Pt: 0.8891 0.7782 0.7500
Pt: 0.1109 0.2218 0.2500
Ir: 0.5000 0.0000 0.0000
Ir: 0.5000 0.0000 0.5000

Summary:
Space-group type: Cmcm
Offset from the most stable computed form (kJ per mole of atoms): 0.0
Formation enthalpy at 0 K (eV per atom): -0.96

=====

No. 3
Computed, not measured: a relaxed Th4Ir2Pt crystal at the PBE level of DFT.

Cell lengths 4.0611, 7.0290, 14.0428 Å; angles 90.00, 90.00, 106.79 degrees
Element x y z (fractional)
Th: 0.7721 0.5441 0.1222
Th: 0.5000 0.0000 0.0000
Th: 0.2279 0.4559 0.8778
Th: 0.9556 0.9113 0.7500
Th: 0.2279 0.4559 0.6222
Th: 0.0444 0.0887 0.2500
Th: 0.5000 0.0000 0.5000
Th: 0.7721 0.5441 0.3778
Ir: 0.1339 0.2678 0.4373
Ir: 0.8661 0.7322 0.5627
Ir: 0.8661 0.7322 0.9373
Ir: 0.1339 0.2678 0.0627
Pt: 0.6134 0.2268 0.7500
Pt: 0.3866 0.7732 0.2500

Summary:
Space-group type: Cmcm
Formation enthalpy at 0 K (eV per atom): -0.90

=====

No. 4
Computed, not measured: a relaxed ThIrPt crystal at the PBE level of DFT.

Cell lengths 3.7267, 3.7267, 5.1974 Å; angles 111.01, 111.01, 90.00 degrees
Element x y z (fractional)
Ir: 0.2768 0.2768 0.5536
Pt: 0.9518 0.9518 0.9037
Th: 0.6213 0.6213 0.2427

Summary:
Space-group type: I4mm
Offset from the most stable computed form (kJ per mole of atoms): 31.5
Formation enthalpy at 0 K (eV per atom): -0.63

=====

No. 5
Computed, not measured: a relaxed ThIrPt3 crystal at the PBE level of DFT.

Cell lengths 5.3477, 5.4967, 7.0782 Å; angles 112.85, 90.00, 90.00 degrees
Element x y z (fractional)
Th: 0.2500 0.3901 0.7802
Th: 0.7500 0.6099 0.2198
Ir: 0.5000 0.0000 0.0000
Ir: 0.0000 0.0000 0.0000
Pt: 0.2500 0.8929 0.2865
Pt: 0.7500 0.6064 0.7135
Pt: 0.7500 0.1071 0.7135
Pt: 0.2500 0.8186 0.6373
Pt: 0.7500 0.1814 0.3627
Pt: 0.2500 0.3936 0.2865

Summary:
Space-group type: Cmcm
Formation enthalpy at 0 K (eV per atom): -0.73

=====

No. 6
Computed, not measured: a relaxed Th8Ir6Pt crystal at the PBE level of DFT.

Cell lengths 4.3880, 9.9569, 9.9569 Å; angles 120.00, 90.00, 90.00 degrees
Element x y z (fractional)
Th: 0.2486 0.2591 0.3070
Th: 0.2486 0.6930 0.9521
Th: 0.7491 0.3333 0.6667
Th: 0.7514 0.9521 0.2591
Th: 0.7514 0.7409 0.6930
Th: 0.2509 0.6667 0.3333
Th: 0.2486 0.0479 0.7409
Th: 0.7514 0.3070 0.0479
Ir: 0.7456 0.4697 0.3810
Ir: 0.7456 0.9113 0.5303
Ir: 0.2544 0.3810 0.9113
Ir: 0.2544 0.0887 0.4697
Ir: 0.2544 0.5303 0.6190
Ir: 0.7456 0.6190 0.0887
Pt: 0.5000 0.0000 0.0000

Summary:
Space-group type: P-3
Formation enthalpy at 0 K (eV per atom): -0.80

=====

No. 7
Computed, not measured: a relaxed TiIrPt crystal at the PBE level of DFT.

Cell lengths 4.3880, 5.4763, 4.3886 Å; angles 90.00, 120.00, 90.00 degrees
Element x y z (fractional)
Pt: 0.6668 0.2500 0.8336
Pt: 0.3332 0.7500 0.1664
Ir: 0.0000 0.0000 0.5000
Ir: 0.0000 0.5000 0.5000
Ti: 0.3334 0.2500 0.1669
Ti: 0.6666 0.7500 0.8331

Summary:
Space-group type: P6_3/mmc
Offset from the most stable computed form (kJ per mole of atoms): 0.0
Formation enthalpy at 0 K (eV per atom): -0.77

=====

No. 8
Computed, not measured: a relaxed Ti4Ir3Pt2 crystal at the PBE level of DFT.

Cell lengths 4.0081, 4.7344, 8.2442 Å; angles 78.12, 89.99, 64.97 degrees
Element x y z (fractional)
Ir: 0.0000 0.0000 0.0000
Ir: 0.3394 0.3216 0.4283
Ir: 0.6606 0.6784 0.5717
Ti: 0.9769 0.0462 0.6556
Ti: 0.6576 0.6849 0.8830
Ti: 0.3424 0.3151 0.1170
Ti: 0.0231 0.9538 0.3444
Pt: 0.3296 0.3405 0.7847
Pt: 0.6704 0.6595 0.2153

Summary:
Space-group type: C2/m
Formation enthalpy at 0 K (eV per atom): -0.80

=====

No. 9
Computed, not measured: a relaxed TiIrPt3 crystal at the PBE level of DFT.

Cell lengths 4.5830, 4.5830, 4.5830 Å; angles 90.00, 90.00, 90.00 degrees
Element x y z (fractional)
Ti: 0.0000 0.0000 0.0000
Pt: 0.0000 0.0000 0.5000
Pt: 0.0000 0.5000 0.0000
Pt: 0.5000 0.0000 0.0000
Ir: 0.5000 0.5000 0.5000

Summary:
Space-group type: Pm-3m
Offset from the most stable computed form (kJ per mole of atoms): 155.9
Formation enthalpy at 0 K (eV per atom): 1.03

=====

No. 10
Computed, not measured: a relaxed Ti7Ir2Pt2 crystal at the PBE level of DFT.

Cell lengths 5.7489, 6.3766, 5.7489 Å; angles 90.00, 105.63, 90.00 degrees
Element x y z (fractional)
Ti: 0.0000 0.7262 0.5001
Ti: 0.5001 0.2738 0.0000
Ti: 0.5000 0.2622 0.5000
Ti: 0.4999 0.7262 0.0000
Ti: 0.5000 0.7378 0.5000
Ti: 0.0000 0.2738 0.4999
Ti: 0.0000 0.0000 0.0000
Pt: 0.1939 0.5000 0.1939
Pt: 0.8061 0.5000 0.8061
Ir: 0.7137 0.0000 0.2863
Ir: 0.2863 0.0000 0.7137

Summary:
Space-group type: Cmmm
Formation enthalpy at 0 K (eV per atom): -0.33

=====

No. 11
Computed, not measured: a relaxed TiIrPt3 crystal at the PBE level of DFT.

Cell lengths 4.8083, 4.8083, 4.8083 Å; angles 90.00, 90.00, 90.00 degrees
Element x y z (fractional)
Pt: 0.5000 0.0000 0.0000
Pt: 0.0000 0.0000 0.5000
Pt: 0.0000 0.5000 0.0000
Ti: 0.5000 0.5000 0.5000
Ir: 0.0000 0.0000 0.0000

Summary:
Space-group type: Pm-3m
Offset from the most stable computed form (kJ per mole of atoms): 171.9
Formation enthalpy at 0 K (eV per atom): 1.19

=====

No. 12
Computed, not measured: a relaxed Ti8IrPt2 crystal at the PBE level of DFT.

Cell lengths 4.4171, 6.2580, 7.4969 Å; angles 111.37, 107.13, 90.00 degrees
Element x y z (fractional)
Pt: 0.1886 0.6784 0.3772
Pt: 0.8114 0.3216 0.6228
Ti: 0.5906 0.4426 0.1811
Ti: 0.9788 0.2425 0.9577
Ti: 0.6634 0.9293 0.3267
Ti: 0.0212 0.7575 0.0423
Ti: 0.4094 0.5574 0.8189
Ti: 0.3366 0.0707 0.6733
Ti: 0.8226 0.7405 0.6452
Ti: 0.1774 0.2595 0.3548
Ir: 0.5000 0.0000 0.0000

Summary:
Space-group type: C2/m
Formation enthalpy at 0 K (eV per atom): -0.53

=====

no.,ρ (g/cm3),volume (A^3/atom)
1,18.030,18.6
2,16.628,20.6
3,13.047,27.4
4,16.530,20.7
5,17.486,19.2
6,14.125,25.1
7,15.824,15.2
8,13.933,15.3
9,14.238,19.3
10,9.079,18.5
11,12.328,22.2
12,8.756,16.6